# 1
# TiCrTcMo, optimized geometry, DFT GGA-PBE
# DFT formation energy in meV per atom: -199
data_TiCrTcMo
_chemical_formula_sum 'Ti4 Cr4 Tc4 Mo4'
_cell_length_a 6.1326
_cell_length_b 6.1326
_cell_length_c 6.1326
_cell_angle_alpha 90.00
_cell_angle_beta 90.00
_cell_angle_gamma 90.00
_space_group_name_H-M_alt 'F -4 3 m'
_space_group_IT_number 216
_space_group_name_Hall 'F -4 2 3'
loop_
_atom_site_label
_atom_site_fract_x
_atom_site_fract_y
_atom_site_fract_z
Ti1 0.0000 0.0000 0.0000
Cr1 0.2500 0.2500 0.2500
Tc1 0.2500 0.2500 0.7500
Mo1 0.0000 0.0000 0.5000

# 2
# Na2CdGe3Au4, optimized geometry, DFT GGA-PBE
# DFT formation energy in meV per atom: -174
data_Na2CdGe3Au4
_chemical_formula_sum 'Na2 Cd1 Ge3 Au4'
_cell_length_a 4.5849
_cell_length_b 4.5849
_cell_length_c 10.6081
_cell_angle_alpha 90.00
_cell_angle_beta 90.00
_cell_angle_gamma 90.00
_space_group_name_H-M_alt 'P -4 m 2'
_space_group_IT_number 115
loop_
_space_group_symop_operation_xyz
'x,y,z'
'y,-x,-z'
'-x,-y,z'
'-y,x,-z'
'-x,y,z'
'-y,-x,-z'
'x,-y,z'
'y,x,-z'
loop_
_atom_site_label
_atom_site_fract_x
_atom_site_fract_y
_atom_site_fract_z
Na1 0.0000 0.5000 0.2408
Cd1 0.0000 0.0000 0.5000
Ge1 0.0000 0.5000 0.8794
Ge2 0.5000 0.5000 0.5000
Au1 0.0000 0.0000 0.0000
Au2 0.0000 0.5000 0.6435
Au3 0.5000 0.5000 0.0000